(1)
## PmSm6Er2Tm (PBE)

Data for an optimized crystal structure of PmSm6Er2Tm.

Cell and atoms, written as CIF:
```
data_PmSm6Er2Tm
_chemical_formula_sum 'Pm4 Sm24 Er8 Tm4'
_symmetry_space_group_name_H-M 'C 1 2/c 1'
_symmetry_Int_Tables_number 15
_cell_length_a 9.224
_cell_length_b 15.167
_cell_length_c 9.552
_cell_angle_alpha 90.00
_cell_angle_beta 96.66
_cell_angle_gamma 90.00
loop_
_symmetry_equiv_pos_as_xyz
'x,y,z'
'-x,-y,-z'
'-x,y,-z+1/2'
'x,-y,z+1/2'
'x+1/2,y+1/2,z'
'-x+1/2,-y+1/2,-z'
'-x+1/2,y+1/2,-z+1/2'
'x+1/2,-y+1/2,z+1/2'
loop_
_atom_site_label
_atom_site_type_symbol
_atom_site_fract_x
_atom_site_fract_y
_atom_site_fract_z
Pm1 Pm 0.000 0.028 0.250
Sm1 Sm 0.061 0.180 0.945
Sm2 Sm 0.098 0.390 0.117
Sm3 Sm 0.214 0.224 0.314
Er1 Er 0.247 0.450 0.452
Tm1 Tm 0.000 0.412 0.750
```

## Properties
Crystal system: monoclinic
Energy of formation from the pure elements (kJ/mol of formula units): 114

---

(2)
## CuAuCl2 (PBE)

Data for an optimized crystal structure of CuAuCl2.

Cell and atoms, written as CIF:
```
data_CuAuCl2
_chemical_formula_sum 'Cu4 Au4 Cl8'
_symmetry_space_group_name_H-M 'I -4 2 d'
_symmetry_Int_Tables_number 122
_symmetry_space_group_name_Hall 'I -4 2bw'
_cell_length_a 5.902
_cell_length_b 5.902
_cell_length_c 10.668
_cell_angle_alpha 90.00
_cell_angle_beta 90.00
_cell_angle_gamma 90.00
loop_
_atom_site_label
_atom_site_type_symbol
_atom_site_fract_x
_atom_site_fract_y
_atom_site_fract_z
Cu1 Cu 0.000 0.000 0.000
Au1 Au 0.000 0.000 0.500
Cl1 Cl 0.207 0.250 0.125
```

## Properties
Crystal system: tetragonal
Formation energy (no corrections) (eV per atom): -0.12
Relative energy among the computed polymorphs (meV/atom): 106

---

(3)
## Pm4BiSe2S (PBE)

Data for an optimized crystal structure of Pm4BiSe2S.

Cell and atoms, written as CIF:
```
data_Pm4BiSe2S
_chemical_formula_sum 'Pm16 Bi4 Se8 S4'
_symmetry_space_group_name_H-M 'I m m a'
_symmetry_Int_Tables_number 74
_symmetry_space_group_name_Hall '-I 2b 2'
_cell_length_a 8.518
_cell_length_b 8.538
_cell_length_c 12.071
_cell_angle_alpha 90.00
_cell_angle_beta 90.00
_cell_angle_gamma 90.00
loop_
_atom_site_label
_atom_site_type_symbol
_atom_site_fract_x
_atom_site_fract_y
_atom_site_fract_z
Pm1 Pm 0.000 0.014 0.242
Pm2 Pm 0.233 0.250 0.009
Bi1 Bi 0.000 0.000 0.500
Se1 Se 0.000 0.000 0.000
Se2 Se 0.250 0.250 0.750
S1 S 0.250 0.250 0.250
```

## Properties
Crystal system: orthorhombic
Formation energy (no corrections) (eV per atom): -1.61

---

(4)
## AlCuC3 (PBE)

Data for an optimized crystal structure of AlCuC3.

Cell and atoms, written as CIF:
```
data_AlCuC3
_chemical_formula_sum 'Al1 Cu1 C3'
_symmetry_space_group_name_H-M 'P m -3 m'
_symmetry_Int_Tables_number 221
_symmetry_space_group_name_Hall '-P 4 2 3'
_cell_length_a 3.845
_cell_length_b 3.845
_cell_length_c 3.845
_cell_angle_alpha 90.00
_cell_angle_beta 90.00
_cell_angle_gamma 90.00
loop_
_atom_site_label
_atom_site_type_symbol
_atom_site_fract_x
_atom_site_fract_y
_atom_site_fract_z
Al1 Al 0.000 0.000 0.000
Cu1 Cu 0.500 0.500 0.500
C1 C 0.000 0.500 0.500
```

## Properties
Crystal system: cubic
Energy of formation from the pure elements (kJ/mol of formula units): 1230
Relative energy among the computed polymorphs (meV/atom): 129

---

(5)
## NdSm6Mg (PBE)

Data for an optimized crystal structure of NdSm6Mg.

Cell and atoms, written as CIF:
```
data_NdSm6Mg
_chemical_formula_sum 'Nd3 Sm18 Mg3'
_symmetry_space_group_name_H-M 'R -3'
_symmetry_Int_Tables_number 148
_symmetry_space_group_name_Hall '-R 3'
_cell_length_a 9.6371
_cell_length_b 9.6371
_cell_length_c 9.8495
_cell_angle_alpha 90.00
_cell_angle_beta 90.00
_cell_angle_gamma 120.00
loop_
_atom_site_label
_atom_site_type_symbol
_atom_site_fract_x
_atom_site_fract_y
_atom_site_fract_z
Nd1 Nd 0.0000 0.0000 0.0000
Sm1 Sm 0.0215 0.2701 0.7169
Mg1 Mg 0.0000 0.0000 0.5000
```

## Properties
Crystal system: trigonal
Energy of formation from the pure elements (kJ/mol of formula units): 84
Relative energy among the computed polymorphs (meV/atom): 0

---

(6)
## Sc2TlMo (PBE)

Data for an optimized crystal structure of Sc2TlMo.

Cell and atoms, written as CIF:
```
data_Sc2TlMo
_chemical_formula_sum 'Sc4 Tl2 Mo2'
_symmetry_space_group_name_H-M 'C m m m'
_symmetry_Int_Tables_number 65
_symmetry_space_group_name_Hall '-C 2 2'
_cell_length_a 3.699
_cell_length_b 4.952
_cell_length_c 9.253
_cell_angle_alpha 90.00
_cell_angle_beta 90.00
_cell_angle_gamma 90.00
loop_
_atom_site_label
_atom_site_type_symbol
_atom_site_fract_x
_atom_site_fract_y
_atom_site_fract_z
Sc1 Sc 0.000 0.000 0.221
Tl1 Tl 0.000 0.500 0.500
Mo1 Mo 0.000 0.500 0.000
```

## Properties
Crystal system: orthorhombic
Energy of formation from the pure elements (kJ/mol of formula units): 2
Relative energy among the computed polymorphs (meV/atom): 69

---

(7)
## Dy6Y5Sc (PBE)

Data for an optimized crystal structure of Dy6Y5Sc.

Cell and atoms, written as CIF:
```
data_Dy6Y5Sc
_chemical_formula_sum 'Dy12 Y10 Sc2'
_symmetry_space_group_name_H-M 'I m m m'
_symmetry_Int_Tables_number 71
_symmetry_space_group_name_Hall '-I 2 2'
_cell_length_a 4.987
_cell_length_b 9.984
_cell_length_c 15.008
_cell_angle_alpha 90.00
_cell_angle_beta 90.00
_cell_angle_gamma 90.00
loop_
_atom_site_label
_atom_site_type_symbol
_atom_site_fract_x
_atom_site_fract_y
_atom_site_fract_z
Dy1 Dy 0.000 0.245 0.000
Dy2 Dy 0.000 0.252 0.334
Y1 Y 0.000 0.000 0.165
Y2 Y 0.000 0.000 0.500
Y3 Y 0.000 0.500 0.166
Sc1 Sc 0.000 0.500 0.500
```

## Properties
Crystal system: orthorhombic
Energy of formation from the pure elements (kJ/mol of formula units): 37

---

(8)
## YAgTe2 (PBE)

Data for an optimized crystal structure of YAgTe2.

Cell and atoms, written as CIF:
```
data_YAgTe2
_chemical_formula_sum 'Y2 Ag2 Te4'
_symmetry_space_group_name_H-M 'I m m 2'
_symmetry_Int_Tables_number 44
_cell_length_a 4.001
_cell_length_b 4.152
_cell_length_c 15.067
_cell_angle_alpha 90.00
_cell_angle_beta 90.00
_cell_angle_gamma 90.00
loop_
_symmetry_equiv_pos_as_xyz
'x,y,z'
'-x,-y,z'
'-x,y,z'
'x,-y,z'
'x+1/2,y+1/2,z+1/2'
'-x+1/2,-y+1/2,z+1/2'
'-x+1/2,y+1/2,z+1/2'
'x+1/2,-y+1/2,z+1/2'
loop_
_atom_site_label
_atom_site_type_symbol
_atom_site_fract_x
_atom_site_fract_y
_atom_site_fract_z
Y1 Y 0.000 0.000 0.000
Ag1 Ag 0.000 0.500 0.173
Te1 Te 0.000 0.000 0.420
Te2 Te 0.000 0.500 0.662
```

## Properties
Crystal system: orthorhombic
Formation energy (no corrections) (eV per atom): -0.80

---

(9)
## BaTlInF6 (PBE)

Data for an optimized crystal structure of BaTlInF6.

Cell and atoms, written as CIF:
```
data_BaTlInF6
_chemical_formula_sum 'Ba4 Tl4 In4 F24'
_symmetry_space_group_name_H-M 'I m m a'
_symmetry_Int_Tables_number 74
_symmetry_space_group_name_Hall '-I 2b 2'
_cell_length_a 8.135
_cell_length_b 8.430
_cell_length_c 10.843
_cell_angle_alpha 90.00
_cell_angle_beta 90.00
_cell_angle_gamma 90.00
loop_
_atom_site_label
_atom_site_type_symbol
_atom_site_fract_x
_atom_site_fract_y
_atom_site_fract_z
Ba1 Ba 0.000 0.000 0.000
Tl1 Tl 0.000 0.250 0.390
In1 In 0.250 0.250 0.750
F1 F 0.000 0.250 0.141
F2 F 0.000 0.250 0.824
F3 F 0.214 0.076 0.618
```

## Properties
Crystal system: orthorhombic
Formation energy (no corrections) (eV per atom): -2.80

---

(10)
## LiTb2Zn6 (PBE)

Data for an optimized crystal structure of LiTb2Zn6.

Cell and atoms, written as CIF:
```
data_LiTb2Zn6
_chemical_formula_sum 'Li1 Tb2 Zn6'
_symmetry_space_group_name_H-M 'P 6/m m m'
_symmetry_Int_Tables_number 191
_symmetry_space_group_name_Hall '-P 6 2'
_cell_length_a 7.8101
_cell_length_b 7.8101
_cell_length_c 3.2783
_cell_angle_alpha 90.00
_cell_angle_beta 90.00
_cell_angle_gamma 120.00
loop_
_atom_site_label
_atom_site_type_symbol
_atom_site_fract_x
_atom_site_fract_y
_atom_site_fract_z
Li1 Li 0.0000 0.0000 0.0000
Tb1 Tb 0.3333 0.6667 0.0000
Zn1 Zn 0.0000 0.3238 0.5000
```

## Properties
Crystal system: hexagonal
Energy of formation from the pure elements (kJ/mol of formula units): -231

---

(11)
## TlNO (PBE)

Data for an optimized crystal structure of TlNO.

Cell and atoms, written as CIF:
```
data_TlNO
_chemical_formula_sum 'Tl4 N4 O4'
_symmetry_space_group_name_H-M 'C 1 2/m 1'
_symmetry_Int_Tables_number 12
_cell_length_a 6.259
_cell_length_b 3.627
_cell_length_c 8.379
_cell_angle_alpha 90.00
_cell_angle_beta 103.85
_cell_angle_gamma 90.00
loop_
_symmetry_equiv_pos_as_xyz
'x,y,z'
'-x,-y,-z'
'-x,y,-z'
'x,-y,z'
'x+1/2,y+1/2,z'
'-x+1/2,-y+1/2,-z'
'-x+1/2,y+1/2,-z'
'x+1/2,-y+1/2,z'
loop_
_atom_site_label
_atom_site_type_symbol
_atom_site_fract_x
_atom_site_fract_y
_atom_site_fract_z
Tl1 Tl 0.094 0.000 0.276
N1 N 0.120 0.500 0.867
O1 O 0.205 0.000 0.617
```

## Properties
Crystal system: monoclinic
Formation energy (no corrections) (eV per atom): 1.09
Relative energy among the computed polymorphs (meV/atom): 1446

---

(12)
## LaSi3Ru (PBE)

Data for an optimized crystal structure of LaSi3Ru.

Cell and atoms, written as CIF:
```
data_LaSi3Ru
_chemical_formula_sum 'La2 Si6 Ru2'
_symmetry_space_group_name_H-M 'C 1 m 1'
_symmetry_Int_Tables_number 8
_cell_length_a 6.042
_cell_length_b 6.041
_cell_length_c 5.828
_cell_angle_alpha 90.00
_cell_angle_beta 121.07
_cell_angle_gamma 90.00
loop_
_symmetry_equiv_pos_as_xyz
'x,y,z'
'x,-y,z'
'x+1/2,y+1/2,z'
'x+1/2,-y+1/2,z'
loop_
_atom_site_label
_atom_site_type_symbol
_atom_site_fract_x
_atom_site_fract_y
_atom_site_fract_z
La1 La 0.000 0.000 0.000
Si1 Si 0.082 0.500 0.164
Si2 Si 0.488 0.250 0.477
Ru1 Ru 0.344 0.000 0.688
```

## Properties
Crystal system: monoclinic
Formation energy (no corrections) (eV per atom): -0.72

---

Question: Number 6 is which compound?
Answer: Sc2TlMo